Dy5SbSe5 | Alexandria via LeMat-Bulk | PBE | relaxed; electronic total energy = -63.38 eV/f.u.; DOS at the Fermi energy = 3.56 states/eV/cell
1.0
-0.757 -5.559 1.710
5.510 3.297 3.100
-6.759 2.215 4.209
Dy Se Sb
5 5 1
Direct
0.166 0.332 0.822
0.168 0.337 0.343
0.832 0.663 0.657
0.834 0.668 0.178
0.500 0.000 0.000
0.664 0.328 0.334
0.336 0.672 0.666
0.330 0.659 0.163
0.670 0.341 0.837
0.000 0.000 0.500
0.000 0.000 0.000